Record 1
A relaxed Sc2CdP crystal. Source: the Alexandria database, functional PBE-GGA.

Cell: 3.241 3.241 7.862 Å, 90.00 90.00 101.72°
Element x y z (fractional)
Sc  0.000  0.000  0.795
Sc  0.000  0.000  0.205
P  0.500  0.500  0.000
Cd  0.500  0.500  0.500

Computed properties:
* energy of formation from the pure elements: -0.64 eV/atom
* space-group type: Cmmm

***

Record 2
A relaxed Os2RuPb crystal. Source: the Alexandria database, functional PBE-GGA.

Cell: 2.917 2.917 7.751 Å, 90.00 90.00 90.00°
Element x y z (fractional)
Os  0.500  0.500  0.220
Os  0.000  0.000  0.002
Ru  0.500  0.500  0.774
Pb  0.000  0.000  0.504

Computed properties:
* energy of formation from the pure elements: 0.62 eV/atom
* space-group type: P4mm

***

Record 3
A relaxed La3Mg crystal. Source: the Alexandria database, functional PBE-GGA.

Cell: 5.746 6.367 7.319 Å, 90.00 90.00 90.00°
Element x y z (fractional)
La  0.500  0.178  0.749
La  0.500  0.639  0.000
La  0.500  0.178  0.251
La  0.000  0.822  0.249
La  0.000  0.361  0.500
La  0.000  0.822  0.751
Mg  0.000  0.321  0.000
Mg  0.500  0.679  0.500

Computed properties:
* energy of formation from the pure elements: -0.01 eV/atom
* space-group type: Pmmn

***

Record 4
A relaxed CoCuSi2 crystal. Source: the Alexandria database, functional PBE-GGA.

Cell: 7.689 7.689 7.689 Å, 20.76 20.76 20.76°
Element x y z (fractional)
Si  0.001  0.001  0.001
Si  0.244  0.244  0.244
Co  0.506  0.506  0.506
Cu  0.749  0.749  0.749

Computed properties:
* uncorrected formation energy: 0.1209 eV per atom
* space-group type: R3m

***

Record 5
A relaxed TaBeCu2 crystal. Source: the Alexandria database, functional PBE-GGA.

Cell: 4.507 4.507 2.688 Å, 90.00 90.00 100.48°
Element x y z (fractional)
Be  0.000  0.500  0.500
Cu  0.000  0.000  0.000
Cu  0.500  0.500  0.000
Ta  0.500  0.000  0.500

Computed properties:
* energy of formation from the pure elements: 0.32 eV/atom
* space-group type: Cmmm

***

Record 6
A relaxed Ta3Cl crystal. Source: the Alexandria database, functional PBE-GGA.

Cell: 3.247 3.247 7.593 Å, 90.00 90.00 90.00°
Element x y z (fractional)
Cl  0.000  0.000  0.000
Ta  0.500  0.500  0.704
Ta  0.000  0.000  0.500
Ta  0.500  0.500  0.296

Computed properties:
* uncorrected formation energy: 0.2667 eV per atom
* space-group type: P4/mmm

***

Record 7
A relaxed FeW crystal. Source: the Alexandria database, functional PBE-GGA.

Cell: 3.774 3.774 3.774 Å, 60.00 60.00 60.00°
Element x y z (fractional)
Fe  0.000  0.000  0.000
W  0.750  0.750  0.750

Computed properties:
* energy of formation from the pure elements: 1.64 eV/atom
* space-group type: F-43m

***

Record 8
A relaxed Cr4SbW crystal. Source: the Alexandria database, functional PBE-GGA.

Cell: 4.878 4.878 4.878 Å, 60.00 60.00 60.00°
Element x y z (fractional)
Cr  0.376  0.873  0.376
Cr  0.376  0.376  0.376
Cr  0.376  0.376  0.873
Cr  0.873  0.376  0.376
Sb  0.750  0.750  0.750
W  0.000  0.000  0.000

Computed properties:
* uncorrected formation energy: 0.2294 eV per atom
* space-group type: F-43m

***

Going through the records in order, we get D(E_F) values of 0.896, 0.888, 1.501, 0.590, 0.578, 0.796, 0.252, 1.178 states/eV per atom.
Going through the records in order, we get final energy values of -21.55, -32.96, -32.83, -21.56, -22.49, -36.34, -18.13, -54.19 eV/cell.